Entry 1:
## Sr2Pd7 (PBE)

Data for crystalline Sr2Pd7 at its relaxed geometry.

Cell lengths 5.5132, 5.5132, 40.3779 Å; angles 90.00, 90.00, 120.00 degrees
Space group R-3m (No. 166, hexagonal axes)
Inequivalent atoms, fractional coordinates:
Sr (0.0000, 0.0000, 0.0507) [6 per cell]
Sr (0.0000, 0.0000, 0.1477) [6 per cell]
Pd (0.0000, 0.0000, 0.2780) [6 per cell]
Pd (0.0000, 0.0000, 0.3883) [6 per cell]
Pd (0.0000, 0.0000, 0.5000) [3 per cell]
Pd (0.0000, 0.5000, 0.0000) [9 per cell]
Pd (0.0018, 0.5009, 0.8895) [18 per cell]

Computed properties:
Energy relative to the elements ... -0.47 eV per atom


Entry 2:
## Sr6Pd (PBE)

Data for crystalline Sr6Pd at its relaxed geometry.

Cell lengths 14.152, 12.927, 7.441 Å; angles 90.00, 90.00, 90.00 degrees
Space group Pnma (No. 62)
Inequivalent atoms, fractional coordinates:
Sr (0.001, 0.250, 0.246) [4 per cell]
Sr (0.003, 0.084, 0.751) [8 per cell]
Sr (0.248, 0.086, 0.084) [8 per cell]
Sr (0.249, 0.750, 0.090) [4 per cell]
Pd (0.125, 0.250, 0.917) [4 per cell]

Computed properties:
Energy relative to the elements ... -0.23 eV per atom


Entry 3:
## Sr5Pd2 (PBE)

Data for crystalline Sr5Pd2 at its relaxed geometry.

Cell lengths 17.874, 7.196, 8.144 Å; angles 90.00, 97.05, 90.00 degrees
Space group C2/c (No. 15)
Inequivalent atoms, fractional coordinates:
Sr (0.000, 0.071, 0.250) [4 per cell]
Sr (0.092, 0.401, 0.915) [8 per cell]
Sr (0.215, 0.079, 0.319) [8 per cell]
Pd (0.112, 0.208, 0.582) [8 per cell]

Computed properties:
Energy relative to the elements ... -0.43 eV per atom


Entry 4:
## Sr13Pd2 (PBE)

Data for crystalline Sr13Pd2 at its relaxed geometry.

Cell lengths 7.440, 9.589, 11.375 Å; angles 65.43, 84.02, 82.83 degrees
Space group P-1 (No. 2)
Inequivalent atoms, fractional coordinates:
Sr (0.000, 0.000, 0.000) [1 per cell]
Sr (0.078, 0.847, 0.693) [2 per cell]
Sr (0.151, 0.694, 0.383) [2 per cell]
Sr (0.231, 0.537, 0.077) [2 per cell]
Sr (0.307, 0.383, 0.770) [2 per cell]
Sr (0.382, 0.230, 0.464) [2 per cell]
Sr (0.465, 0.076, 0.155) [2 per cell]
Pd (0.193, 0.116, 0.730) [2 per cell]

Computed properties:
Energy relative to the elements ... -0.21 eV per atom


Entry 5:
## Sr5Pd4 (PBE)

Data for crystalline Sr5Pd4 at its relaxed geometry.

Cell lengths 11.548, 4.254, 11.658 Å; angles 90.00, 106.24, 90.00 degrees
Space group C2/m (No. 12)
Inequivalent atoms, fractional coordinates:
Sr (0.000, 0.000, 0.000) [2 per cell]
Sr (0.111, 0.000, 0.400) [4 per cell]
Sr (0.219, 0.000, 0.797) [4 per cell]
Pd (0.010, 0.500, 0.805) [4 per cell]
Pd (0.101, 0.500, 0.604) [4 per cell]

Computed properties:
Energy relative to the elements ... -0.55 eV per atom


Entry 6:
## Sr4Pd (PBE)

Data for crystalline Sr4Pd at its relaxed geometry.

Cell lengths 12.571, 12.571, 12.571 Å; angles 90.00, 90.00, 90.00 degrees
Space group Fd-3m (No. 227, origin choice 2)
Inequivalent atoms, fractional coordinates:
Sr (0.006, 0.006, 0.244) [32 per cell]
Pd (0.125, 0.125, 0.625) [8 per cell]

Computed properties:
Energy relative to the elements ... -0.06 eV per atom
Polymorph energy (0 for the lowest one) ... 0.233 eV per atom


Entry 7:
## Sr6Pd5 (PBE)

Data for crystalline Sr6Pd5 at its relaxed geometry.

Cell lengths 5.284, 7.536, 15.834 Å; angles 90.00, 90.00, 90.00 degrees
Space group Immm (No. 71)
Inequivalent atoms, fractional coordinates:
Sr (0.000, 0.245, 0.000) [4 per cell]
Sr (0.000, 0.252, 0.331) [8 per cell]
Pd (0.000, 0.000, 0.167) [4 per cell]
Pd (0.000, 0.500, 0.166) [4 per cell]
Pd (0.000, 0.500, 0.500) [2 per cell]

Computed properties:
Energy relative to the elements ... -0.52 eV per atom


Entry 8:
## Sr4Pd (PBE)

Data for crystalline Sr4Pd at its relaxed geometry.

Cell lengths 6.102, 6.102, 6.102 Å; angles 90.00, 90.00, 90.00 degrees
Space group Pm-3m (No. 221)
Inequivalent atoms, fractional coordinates:
Sr (0.000, 0.000, 0.000) [1 per cell]
Sr (0.000, 0.500, 0.500) [3 per cell]
Pd (0.500, 0.500, 0.500) [1 per cell]

Computed properties:
Energy relative to the elements ... -0.29 eV per atom
Polymorph energy (0 for the lowest one) ... 0.000 eV per atom


Q: The lowest energy relative to the elements belongs to which entry?
A: Sr5Pd4


Please write out number 5 again, unchanged.
## Sr5Pd4 (PBE)

Data for crystalline Sr5Pd4 at its relaxed geometry.

Cell lengths 11.548, 4.254, 11.658 Å; angles 90.00, 106.24, 90.00 degrees
Space group C2/m (No. 12)
Inequivalent atoms, fractional coordinates:
Sr (0.000, 0.000, 0.000) [2 per cell]
Sr (0.111, 0.000, 0.400) [4 per cell]
Sr (0.219, 0.000, 0.797) [4 per cell]
Pd (0.010, 0.500, 0.805) [4 per cell]
Pd (0.101, 0.500, 0.604) [4 per cell]

Computed properties:
Energy relative to the elements ... -0.55 eV per atom


Q: The highest energy relative to the elements belongs to which entry?
A: number 6


Repeat the third record exactly.
## Sr5Pd2 (PBE)

Data for crystalline Sr5Pd2 at its relaxed geometry.

Cell lengths 17.874, 7.196, 8.144 Å; angles 90.00, 97.05, 90.00 degrees
Space group C2/c (No. 15)
Inequivalent atoms, fractional coordinates:
Sr (0.000, 0.071, 0.250) [4 per cell]
Sr (0.092, 0.401, 0.915) [8 per cell]
Sr (0.215, 0.079, 0.319) [8 per cell]
Pd (0.112, 0.208, 0.582) [8 per cell]

Computed properties:
Energy relative to the elements ... -0.43 eV per atom